DFT (meta-GGA SCAN) results for a PBEsol-optimized structure of InCu2Ru. Values from VASP.

Energy (eV/atom): -24.451
Energy of formation (eV/atom): 0.202
DOS(E_F) (states/eV/atom): 0.360

Structure (Quantum ESPRESSO input):
```
&SYSTEM
  ibrav = 0, nat = 4, ntyp = 3
/
ATOMIC_SPECIES
In 114.82 In.upf
Cu 63.55 Cu.upf
Ru 101.07 Ru.upf
CELL_PARAMETERS angstrom
0.000 3.042 3.042
3.042 0.000 3.042
3.042 3.042 0.000
ATOMIC_POSITIONS crystal
In 0.000 0.000 0.000
Cu 0.500 0.500 0.500
Cu 0.750 0.750 0.750
Ru 0.250 0.250 0.250
```